A relaxed structure of KIn9Pd2, computed with PBE-GGA.

Output
ΔE_f ... -0.176 eV/atom
N(E_F) ... 11.3 states/eV per cell
Space group ... No. 141

Cell lengths 7.6771, 9.6451, 9.6451 Å; angles 80.89, 66.55, 66.55 degrees
Positions (direct):
1 In 0.7500 0.5000 0.5000
2 In 0.0759 0.9328 0.3094
3 In 0.0000 0.0000 0.0000
4 In 0.7587 0.8094 0.5672
5 In 0.6741 0.1906 0.5672
6 In 0.9913 0.6906 0.9328
7 In 0.3181 0.0672 0.6906
8 In 0.6741 0.5672 0.1906
9 In 0.6147 0.0672 0.3094
10 In 0.6147 0.3094 0.0672
11 In 0.4319 0.4328 0.8094
12 In 0.1353 0.4328 0.1906
13 In 0.3181 0.6906 0.0672
14 In 0.4319 0.8094 0.4328
15 In 0.9913 0.9328 0.6906
16 In 0.7587 0.5672 0.8094
17 In 0.1353 0.1906 0.4328
18 In 0.0759 0.3094 0.9328
19 Pd 0.8750 0.2500 0.7500
20 Pd 0.8750 0.7500 0.2500
21 Pd 0.8750 0.2500 0.2500
22 Pd 0.3750 0.7500 0.7500
23 K 0.2500 0.5000 0.5000
24 K 0.5000 0.0000 0.0000